Record 1
Sr4ScCd5 | PBE | optimized geometry

Cell: 3.901 3.901 20.150 Å, 90.00 90.00 90.00°
Space group P4/mmm (No. 123)
Unique sites:
Sr1 0.000 0.000 0.105 (multiplicity 2)
Sr2 0.000 0.000 0.315 (multiplicity 2)
Sc1 0.000 0.000 0.500 (multiplicity 1)
Cd1 0.500 0.500 0.000 (multiplicity 1)
Cd2 0.500 0.500 0.209 (multiplicity 2)
Cd3 0.500 0.500 0.424 (multiplicity 2)

Its mass density is 5.18 g cm⁻³. For the total moment, the calculation gives 0.0 μB/f.u. As for the energy of formation: -0.29 eV per atom. As for the raw total energy: -2.057 eV/atom. The value obtained for the density of states at the Fermi level is 0.716 states/eV/atom.

---

Record 2
SrScCd | PBE | optimized geometry

Cell: 7.455 7.455 7.455 Å, 90.00 90.00 90.00°
Space group F-43m (No. 216)
Unique sites:
Sr1 0.000 0.000 0.000 (multiplicity 4)
Sc1 0.000 0.000 0.500 (multiplicity 4)
Cd1 0.250 0.250 0.750 (multiplicity 4)

Its mass density is 3.93 g cm⁻³. For the total moment, the calculation gives 0.0 μB/f.u. As for the energy of formation: 0.21 eV per atom. As for the raw total energy: -2.771 eV/atom. The value obtained for the density of states at the Fermi level is 1.679 states/eV/atom.

---

Record 3
SrScCd2 | PBE | optimized geometry

Cell: 3.723 3.768 7.708 Å, 90.00 90.00 90.00°
Space group Pmmm (No. 47)
Unique sites:
Sr1 0.000 0.000 0.000 (multiplicity 1)
Sc1 0.000 0.000 0.500 (multiplicity 1)
Cd1 0.500 0.500 0.295 (multiplicity 2)

Its mass density is 5.49 g cm⁻³. For the total moment, the calculation gives 0.0 μB/f.u. As for the energy of formation: -0.27 eV per atom. As for the raw total energy: -2.730 eV/atom. The value obtained for the density of states at the Fermi level is 0.881 states/eV/atom.

---

Record 4
SrScCd2 | PBE | optimized geometry

Cell: 5.391 5.391 3.717 Å, 90.00 90.00 90.00°
Space group P4/mmm (No. 123)
Unique sites:
Sr1 0.000 0.000 0.000 (multiplicity 1)
Sc1 0.500 0.500 0.000 (multiplicity 1)
Cd1 0.000 0.500 0.500 (multiplicity 2)

Its mass density is 5.49 g cm⁻³. For the total moment, the calculation gives 0.0 μB/f.u. As for the energy of formation: -0.19 eV per atom. As for the raw total energy: -2.649 eV/atom. The value obtained for the density of states at the Fermi level is 0.608 states/eV/atom.

---

Record 5
Sr2ScCd | PBE | optimized geometry

Cell: 3.916 5.916 12.252 Å, 90.00 90.00 90.00°
Space group Imm2 (No. 44)
Unique sites:
Sr1 0.000 0.000 0.000 (multiplicity 2)
Sr2 0.000 0.500 0.209 (multiplicity 2)
Sc1 0.000 0.000 0.420 (multiplicity 2)
Cd1 0.000 0.500 0.737 (multiplicity 2)

Its mass density is 3.89 g cm⁻³. For the total moment, the calculation gives 0.5 μB/f.u. As for the energy of formation: 0.02 eV per atom. As for the raw total energy: -2.630 eV/atom. The value obtained for the density of states at the Fermi level is 1.455 states/eV/atom.

---

Record 6
Sr2ScCd | PBE | optimized geometry

Cell: 8.224 8.224 8.224 Å, 90.00 90.00 90.00°
Space group Fm-3m (No. 225)
Unique sites:
Sr1 0.250 0.250 0.250 (multiplicity 8)
Sc1 0.000 0.000 0.000 (multiplicity 4)
Cd1 0.000 0.000 0.500 (multiplicity 4)

Its mass density is 3.97 g cm⁻³. For the total moment, the calculation gives 0.0 μB/f.u. As for the energy of formation: 0.14 eV per atom. As for the raw total energy: -2.511 eV/atom. The value obtained for the density of states at the Fermi level is 1.963 states/eV/atom.

---

Record 7
SrScCd2 | PBE | optimized geometry

Cell: 9.619 3.728 6.886 Å, 90.00 102.48 90.00°
Space group C2/m (No. 12)
Unique sites:
Sr1 0.000 0.000 0.000 (multiplicity 2)
Sc1 0.000 0.500 0.500 (multiplicity 2)
Cd1 0.241 0.000 0.686 (multiplicity 4)

Its mass density is 4.92 g cm⁻³. For the total moment, the calculation gives 0.0 μB/f.u. As for the energy of formation: -0.07 eV per atom. As for the raw total energy: -2.528 eV/atom. The value obtained for the density of states at the Fermi level is 1.086 states/eV/atom.

---

Record 8
Sr2ScCd | PBE | optimized geometry

Cell: 3.864 3.864 9.458 Å, 90.00 90.00 90.00°
Space group P4/mmm (No. 123)
Unique sites:
Sr1 0.000 0.000 0.227 (multiplicity 2)
Sc1 0.500 0.500 0.500 (multiplicity 1)
Cd1 0.500 0.500 0.000 (multiplicity 1)

Its mass density is 3.91 g cm⁻³. For the total moment, the calculation gives 1.5 μB/f.u. As for the energy of formation: 0.06 eV per atom. As for the raw total energy: -2.588 eV/atom. The value obtained for the density of states at the Fermi level is 1.507 states/eV/atom.